No. 1
VASP calculation (meta-GGA SCAN) on a PBEsol-optimized structure of La2Se3.

Calculated values
The calculation puts the magnetic moment at 0.0 μB per formula unit. The total energy comes out at -31.587 eV/atom.

Lattice parameters (Å, degrees): 8.9454 8.9454 14.8162 107.57 107.57 90.00
With the nearest neighbours (Å) after each atom.
Fractional positions:
La: 0.5836 0.0836 0.1672  8 Se 3.00-3.14
La: 0.5951 0.2036 0.9204  8 Se 2.98-3.28
La: 0.2449 0.8750 0.2500  8 Se 3.01-3.21
La: 0.3253 0.7168 0.9204  8 Se 2.98-3.28
La: 0.0051 0.3750 0.2500  8 Se 3.01-3.21
La: 0.7964 0.6747 0.0796  8 Se 2.98-3.28
La: 0.2832 0.4049 0.0796  8 Se 2.98-3.28
La: 0.1250 0.9949 0.7500  8 Se 3.01-3.21
La: 0.6549 0.0332 0.5796  8 Se 2.98-3.28
La: 0.4536 0.3451 0.4204  8 Se 2.98-3.28
La: 0.9668 0.0753 0.4204  8 Se 2.98-3.28
La: 0.9164 0.4164 0.8328  8 Se 3.00-3.14
La: 0.3336 0.3336 0.6672  8 Se 3.00-3.14
La: 0.6664 0.6664 0.3328  8 Se 3.00-3.14
La: 0.9247 0.5464 0.5796  8 Se 2.98-3.28
La: 0.6250 0.7551 0.7500  8 Se 3.01-3.21
Se: 0.5953 0.6848 0.5309  5 La 2.99-3.16
Se: 0.7577 0.3545 0.3648  6 La 3.02-3.28, 3 Se 3.36-3.38
Se: 0.9691 0.7223 0.2942  5 La 2.98-3.15
Se: 0.0961 0.6856 0.0309  5 La 2.99-3.16
Se: 0.2603 0.3571 0.8648  6 La 3.02-3.28, 3 Se 3.36-3.38
Se: 0.2777 0.6749 0.7058  5 La 2.98-3.15
Se: 0.6429 0.3955 0.1352  6 La 3.02-3.28, 3 Se 3.36-3.38
Se: 0.1539 0.4047 0.4691  5 La 2.99-3.16
Se: 0.4923 0.7397 0.1352  6 La 3.02-3.28, 3 Se 3.36-3.38
Se: 0.3251 0.5719 0.2942  5 La 2.98-3.15
Se: 0.3152 0.0644 0.4691  5 La 2.99-3.16
Se: 0.2809 0.1781 0.2058  5 La 2.98-3.15
Se: 0.6454 0.3929 0.6352  6 La 3.02-3.28, 3 Se 3.36-3.38
Se: 0.8219 0.0751 0.7942  5 La 2.98-3.15
Se: 0.9723 0.7191 0.7942  5 La 2.98-3.15
Se: 0.9356 0.8461 0.5309  5 La 2.99-3.16
Se: 0.6547 0.9039 0.9691  5 La 2.99-3.16
Se: 0.9897 0.2423 0.6352  6 La 3.02-3.28, 3 Se 3.36-3.38
Se: 0.9348 0.3453 0.0309  5 La 2.99-3.16
Se: 0.6046 0.5077 0.8648  6 La 3.02-3.28, 3 Se 3.36-3.38
Se: 0.9249 0.0277 0.2058  5 La 2.98-3.15
Se: 0.3144 0.0652 0.9691  5 La 2.99-3.16
Se: 0.6071 0.0103 0.3648  6 La 3.02-3.28, 3 Se 3.36-3.38
Se: 0.4281 0.0309 0.7058  5 La 2.98-3.15


No. 2
VASP calculation (meta-GGA SCAN) on a PBEsol-optimized structure of Sb6O13.

Calculated values
The calculation puts the magnetic moment at 0.0 μB per formula unit. The total energy comes out at -17.430 eV/atom.

Lattice parameters (Å, degrees): 7.2511 7.3172 7.2680 119.78 90.00 119.70
With the nearest neighbours (Å) after each atom.
Fractional positions:
O: 0.6849 0.3698 0.1849  2 Sb 1.95
O: 0.6749 0.7447 0.5842  2 Sb 1.98-2.01
O: 0.0699 0.7447 0.1605  2 Sb 1.98-2.01
O: 0.0699 0.7447 0.5842  2 Sb 1.98-2.01
O: 0.3269 0.2679 0.9217  2 Sb 1.99-2.02
O: 0.9410 0.2679 0.3462  2 Sb 1.99-2.02
O: 0.0740 0.1479 0.5740  2 Sb 1.99
O: 0.3225 0.6450 0.3225  2 Sb 1.95
O: 0.9410 0.2679 0.9217  2 Sb 1.99-2.02
O: 0.9301 0.8601 0.9301  2 Sb 1.94
O: 0.3362 0.6724 0.8362  2 Sb 1.95
O: 0.3269 0.2679 0.3462  2 Sb 1.99-2.02
O: 0.6749 0.7447 0.1605  2 Sb 1.98-2.01
Sb: 0.4840 0.4947 0.7474  1 O 1.95
Sb: 0.0107 0.4947 0.7474  1 O 1.95
Sb: 0.0004 0.0008 0.2482  6 O 1.94-1.99
Sb: 0.0004 0.0008 0.7526  6 O 1.94-1.99
Sb: 0.5028 0.5066 0.2533  6 O 1.95-2.02
Sb: 0.0038 0.5066 0.2533  6 O 1.95-2.02


No. 3
VASP calculation (meta-GGA SCAN) on a PBEsol-optimized structure of Te3Cl2.

Calculated values
The calculation puts the magnetic moment at 0.0 μB per formula unit. The total energy comes out at -25.787 eV/atom.

Lattice parameters (Å, degrees): 6.7375 7.5167 12.1850 90.00 90.58 90.00
With the nearest neighbours (Å) after each atom.
Fractional positions:
Cl: 0.5326 0.0605 0.6485  1 Te 2.57
Cl: 0.7584 0.1134 0.9822  1 Te 2.53
Cl: 0.2416 0.8866 0.0178  1 Te 2.53
Cl: 0.4674 0.9395 0.3515  1 Te 2.57
Cl: 0.9674 0.5605 0.3515  1 Te 2.57
Cl: 0.0326 0.4395 0.6485  1 Te 2.57
Cl: 0.2584 0.3866 0.9822  1 Te 2.53
Cl: 0.7416 0.6134 0.0178  1 Te 2.53
Te: 0.9468 0.1629 0.4503  2 Te 2.72-2.82
Te: 0.3886 0.9848 0.8376  2 Cl 2.53-2.57, 1 Te 2.77
Te: 0.4971 0.4621 0.2426  2 Te 2.72-2.77
Te: 0.6114 0.0152 0.1624  2 Cl 2.53-2.57, 1 Te 2.77
Te: 0.4468 0.3371 0.4503  2 Te 2.72-2.82
Te: 0.8886 0.5152 0.8376  2 Cl 2.53-2.57, 1 Te 2.77
Te: 0.0532 0.8371 0.5497  2 Te 2.72-2.82
Te: 0.0029 0.9621 0.7574  2 Te 2.72-2.77
Te: 0.1114 0.4848 0.1624  2 Cl 2.53-2.57, 1 Te 2.77
Te: 0.9971 0.0379 0.2426  2 Te 2.72-2.77
Te: 0.5029 0.5379 0.7574  2 Te 2.72-2.77
Te: 0.5532 0.6629 0.5497  2 Te 2.72-2.82